Record 1
Computed, not measured: a relaxed AlTcGe2N crystal at the GGA-PBE level of DFT.

a = 5.115 Å, b = 5.115 Å, c = 3.399 Å
α = 90.00°, β = 90.00°, γ = 90.00°
Space group P4/mmm (No. 123)
Inequivalent atoms, fractional coordinates:
Al  0.000  0.000  0.000
Tc  0.500  0.500  0.500
Ge  0.000  0.500  0.000
N  0.000  0.000  0.500

Output
N(E_F) ... 3.16 states/eV/f.u.

***

Record 2
Computed, not measured: a relaxed InSiOs2 crystal at the GGA-PBE level of DFT.

a = 3.018 Å, b = 4.114 Å, c = 10.236 Å
α = 90.00°, β = 90.00°, γ = 90.00°
Space group Imm2 (No. 44)
Inequivalent atoms, fractional coordinates:
In  0.000  0.000  0.000
Si  0.000  0.500  0.255
Os  0.000  0.000  0.574
Os  0.000  0.500  0.807

Output
N(E_F) ... 3.59 states/eV/f.u.
Energy relative to the lowest polymorph listed for this composition ... 5.76 kcal/mol of atoms

***

Formation energy from raw total energies list, top to bottom, in eV/atom: 0.99; 0.34